VASP calculation (GGA+U) on a relaxed structure of Na3PuMn2O6.

Values from the calculation:
* crystal system: monoclinic
* raw total energy: -7.259 eV per atom

Lattice parameters (Å, degrees): 5.649 5.649 5.837 99.18 99.18 120.08
Positions (direct):
Na (0.826, 0.174, 0.500)
Na (0.174, 0.826, 0.500)
Na (0.500, 0.500, 0.500)
Pu (0.000, 0.000, 0.000)
Mn (0.333, 0.667, 0.000)
Mn (0.667, 0.333, 0.000)
O (0.929, 0.605, 0.786)
O (0.748, 0.748, 0.212)
O (0.071, 0.395, 0.214)
O (0.605, 0.929, 0.786)
O (0.252, 0.252, 0.788)
O (0.395, 0.071, 0.214)